one:
## LaPrCo2Si4 (PBE)

Data for a geometry-optimized LaPrCo2Si4 structure.

Cell and atoms, written as CIF:
```
data_LaPrCo2Si4
_chemical_formula_sum 'La1 Pr1 Co2 Si4'
_cell_length_a 4.337
_cell_length_b 4.063
_cell_length_c 8.190
_cell_angle_alpha 90.00
_cell_angle_beta 103.43
_cell_angle_gamma 90.00
_symmetry_space_group_name_H-M 'P 1 m 1'
_symmetry_Int_Tables_number 6
_symmetry_space_group_name_Hall 'P -2y'
loop_
_atom_site_label
_atom_site_type_symbol
_atom_site_fract_x
_atom_site_fract_y
_atom_site_fract_z
_atom_site_occupancy
La1 La 0.000 0.000 0.000 1
Pr1 Pr 0.799 0.500 0.592 1
Co1 Co 0.270 0.000 0.410 1
Co2 Co 0.528 0.500 0.183 1
Si1 Si 0.082 0.500 0.291 1
Si2 Si 0.354 0.000 0.702 1
Si3 Si 0.443 0.500 0.888 1
Si4 Si 0.716 0.000 0.304 1
```



two:
## LaPrCo2Si4 (PBE)

Data for a geometry-optimized LaPrCo2Si4 structure.

Cell and atoms, written as CIF:
```
data_LaPrCo2Si4
_chemical_formula_sum 'La2 Pr2 Co4 Si8'
_cell_length_a 4.087
_cell_length_b 4.210
_cell_length_c 16.496
_cell_angle_alpha 90.00
_cell_angle_beta 90.00
_cell_angle_gamma 90.00
_symmetry_space_group_name_H-M 'A m m 2'
_symmetry_Int_Tables_number 38
_symmetry_space_group_name_Hall 'A 2 -2'
loop_
_atom_site_label
_atom_site_type_symbol
_atom_site_fract_x
_atom_site_fract_y
_atom_site_fract_z
_atom_site_occupancy
La1 La 0.000 0.000 0.000 1
Pr1 Pr 0.500 0.000 0.216 1
Co1 Co 0.000 0.000 0.790 1
Co2 Co 0.500 0.000 0.426 1
Si1 Si 0.000 0.000 0.357 1
Si2 Si 0.000 0.000 0.652 1
Si3 Si 0.500 0.000 0.565 1
Si4 Si 0.500 0.000 0.857 1
```



Which structure loses on stability? one does.